# CaLa12Sm6 (PBE, optimized geometry)
# - energy relative to the elements (eV per atom) = 0.33
# - magnetization (μB/f.u.) = 0.00
data_CaLa12Sm6
_chemical_formula_sum 'Ca1 La12 Sm6'
_cell_length_a 9.2074
_cell_length_b 9.2074
_cell_length_c 9.2074
_cell_angle_alpha 101.01
_cell_angle_beta 101.01
_cell_angle_gamma 101.01
_space_group_name_H-M_alt 'P 1'
_space_group_IT_number 1
loop_
_space_group_symop_operation_xyz
'x,y,z'
loop_
_atom_site_label
_atom_site_type_symbol
_atom_site_fract_x
_atom_site_fract_y
_atom_site_fract_z
_atom_site_occupancy
Ca1 Ca 0.0000 0.0000 0.0000 1
La1 La 0.1087 0.5000 0.8913 1
La2 La 0.1087 0.8913 0.5000 1
La3 La 0.1803 0.4593 0.4593 1
La4 La 0.4593 0.1803 0.4593 1
La5 La 0.4593 0.4593 0.1803 1
La6 La 0.5000 0.1087 0.8913 1
La7 La 0.5000 0.8913 0.1087 1
La8 La 0.5407 0.5407 0.8197 1
La9 La 0.5407 0.8197 0.5407 1
La10 La 0.8197 0.5407 0.5407 1
La11 La 0.8913 0.1087 0.5000 1
La12 La 0.8913 0.5000 0.1087 1
Sm1 Sm 0.2143 0.2143 0.7587 1
Sm2 Sm 0.2143 0.7587 0.2143 1
Sm3 Sm 0.2413 0.7857 0.7857 1
Sm4 Sm 0.7587 0.2143 0.2143 1
Sm5 Sm 0.7857 0.2413 0.7857 1
Sm6 Sm 0.7857 0.7857 0.2413 1